(1)
# PmThTi

A relaxed PmThTi crystal (PBE, Alexandria via LeMat-Bulk).

Computed properties:
Magnetic moment in μB per formula unit: 0.0
Symmetry: Amm2 (38)

Unit cell a=3.389 b=3.389 c=16.608 alpha=90.00 beta=90.00 gamma=120.00
Fractional coordinates of all 6 atoms:
Th  0.610  0.220  0.000
Th  0.278  0.557  0.500
Pm  0.611  0.223  0.310
Pm  0.611  0.223  0.690
Ti  0.278  0.555  0.846
Ti  0.278  0.555  0.154

---

(2)
# Pm4ThTl2

A relaxed Pm4ThTl2 crystal (PBE, Alexandria via LeMat-Bulk).

Computed properties:
Magnetic moment in μB per formula unit: 0.0
Symmetry: Cmmm (65)

Unit cell a=4.961 b=6.848 c=6.848 alpha=100.39 beta=90.00 gamma=90.00
Fractional coordinates of all 7 atoms:
Pm  0.000  0.792  0.792
Pm  0.000  0.208  0.208
Pm  0.500  0.000  0.500
Pm  0.500  0.500  0.000
Th  0.500  0.500  0.500
Tl  0.000  0.722  0.278
Tl  0.000  0.278  0.722

---

(3)
# PmTh3Tl4

A relaxed PmTh3Tl4 crystal (PBE, Alexandria via LeMat-Bulk).

Computed properties:
Magnetic moment in μB per formula unit: 0.0
Symmetry: Pmna (53)

Unit cell a=6.854 b=6.936 c=9.916 alpha=90.00 beta=90.00 gamma=90.00
Fractional coordinates of all 16 atoms:
Pm  0.815  0.500  0.000
Pm  0.315  0.500  0.500
Th  0.814  0.000  0.000
Th  0.065  0.765  0.250
Th  0.565  0.235  0.250
Th  0.314  0.000  0.500
Th  0.565  0.235  0.750
Th  0.065  0.765  0.750
Tl  0.314  0.000  0.000
Tl  0.315  0.500  0.000
Tl  0.064  0.260  0.250
Tl  0.564  0.740  0.250
Tl  0.815  0.500  0.500
Tl  0.814  0.000  0.500
Tl  0.564  0.740  0.750
Tl  0.064  0.260  0.750

---

(4)
# Pm2ThTl

A relaxed Pm2ThTl crystal (PBE, Alexandria via LeMat-Bulk).

Computed properties:
Magnetic moment in μB per formula unit: 0.0
Symmetry: R-3m (166)

Unit cell a=3.611 b=3.611 c=12.353 alpha=81.59 beta=81.59 gamma=60.00
Fractional coordinates of all 4 atoms:
Tl  0.000  0.000  0.000
Th  0.500  0.500  0.500
Pm  0.089  0.089  0.732
Pm  0.911  0.911  0.268

---

(5)
# Pm2ThTl

A relaxed Pm2ThTl crystal (PBE, Alexandria via LeMat-Bulk).

Computed properties:
Magnetic moment in μB per formula unit: 0.0
Symmetry: P4/mmm (123)

Unit cell a=3.657 b=3.657 c=9.240 alpha=90.00 beta=90.00 gamma=90.00
Fractional coordinates of all 4 atoms:
Tl  0.500  0.500  0.000
Th  0.500  0.500  0.500
Pm  0.000  0.000  0.763
Pm  0.000  0.000  0.237

---

(6)
# Pm5ThTl4

A relaxed Pm5ThTl4 crystal (PBE, Alexandria via LeMat-Bulk).

Computed properties:
Magnetic moment in μB per formula unit: 0.0
Symmetry: P4/mmm (123)

Unit cell a=3.634 b=3.634 c=22.487 alpha=90.00 beta=90.00 gamma=90.00
Fractional coordinates of all 10 atoms:
Pm  0.500  0.500  0.108
Pm  0.500  0.500  0.304
Pm  0.500  0.500  0.500
Pm  0.500  0.500  0.696
Pm  0.500  0.500  0.892
Th  0.000  0.000  0.000
Tl  0.000  0.000  0.206
Tl  0.000  0.000  0.402
Tl  0.000  0.000  0.598
Tl  0.000  0.000  0.794

---

(7)
# Pm14ThTl

A relaxed Pm14ThTl crystal (PBE, Alexandria via LeMat-Bulk).

Computed properties:
Magnetic moment in μB per formula unit: 0.0
Symmetry: Amm2 (38)

Unit cell a=7.219 b=7.219 c=10.240 alpha=90.00 beta=90.00 gamma=89.99
Fractional coordinates of all 16 atoms:
Pm  0.375  0.625  0.500
Pm  0.875  0.125  0.500
Pm  0.874  0.625  0.000
Pm  0.875  0.625  0.500
Pm  0.375  0.126  0.000
Pm  0.375  0.125  0.500
Pm  0.626  0.876  0.755
Pm  0.626  0.876  0.245
Pm  0.124  0.374  0.755
Pm  0.124  0.374  0.245
Pm  0.124  0.876  0.755
Pm  0.124  0.876  0.245
Pm  0.626  0.374  0.755
Pm  0.626  0.374  0.245
Th  0.875  0.125  0.000
Tl  0.375  0.625  0.000

---

(8)
# Pm3ThTl4

A relaxed Pm3ThTl4 crystal (PBE, Alexandria via LeMat-Bulk).

Computed properties:
Magnetic moment in μB per formula unit: 0.0
Symmetry: P4/mmm (123)

Unit cell a=3.612 b=3.612 c=17.795 alpha=90.00 beta=90.00 gamma=90.00
Fractional coordinates of all 8 atoms:
Tl  0.000  0.000  0.872
Tl  0.000  0.000  0.128
Tl  0.000  0.000  0.376
Tl  0.000  0.000  0.624
Th  0.500  0.500  0.000
Pm  0.500  0.500  0.252
Pm  0.500  0.500  0.500
Pm  0.500  0.500  0.748

---

(9)
# Pm2ThTl

A relaxed Pm2ThTl crystal (PBE, Alexandria via LeMat-Bulk).

Computed properties:
Magnetic moment in μB per formula unit: 0.0
Symmetry: Fm-3m (225)

Unit cell a=5.565 b=5.565 c=5.565 alpha=60.00 beta=60.00 gamma=60.00
Fractional coordinates of all 4 atoms:
Tl  0.500  0.500  0.500
Th  0.000  0.000  0.000
Pm  0.250  0.250  0.250
Pm  0.750  0.750  0.750

---

(10)
# Pm4ThTl2

A relaxed Pm4ThTl2 crystal (PBE, Alexandria via LeMat-Bulk).

Computed properties:
Magnetic moment in μB per formula unit: 0.0
Symmetry: R-3m (166)

Unit cell a=5.581 b=5.581 c=9.609 alpha=73.12 beta=73.12 gamma=60.00
Fractional coordinates of all 7 atoms:
Pm  0.735  0.735  0.796
Pm  0.872  0.872  0.384
Pm  0.265  0.265  0.204
Pm  0.128  0.128  0.616
Th  0.500  0.500  0.500
Tl  0.617  0.617  0.148
Tl  0.383  0.383  0.852

---

(11)
# Pm4ThTl3

A relaxed Pm4ThTl3 crystal (PBE, Alexandria via LeMat-Bulk).

Computed properties:
Magnetic moment in μB per formula unit: 0.0
Symmetry: Pmmm (47)

Unit cell a=4.602 b=4.993 c=10.357 alpha=90.00 beta=90.00 gamma=90.00
Fractional coordinates of all 8 atoms:
Tl  0.500  0.000  0.243
Tl  0.500  0.500  0.500
Tl  0.500  0.000  0.757
Th  0.500  0.500  0.000
Pm  0.000  0.000  0.500
Pm  0.000  0.500  0.737
Pm  0.000  0.000  0.000
Pm  0.000  0.500  0.263

---

(12)
# PmThTl6

A relaxed PmThTl6 crystal (PBE, Alexandria via LeMat-Bulk).

Computed properties:
Magnetic moment in μB per formula unit: 0.0
Symmetry: P4/mmm (123)

Unit cell a=4.814 b=4.814 c=9.625 alpha=90.00 beta=90.00 gamma=90.00
Fractional coordinates of all 8 atoms:
Pm  0.000  0.000  0.500
Th  0.000  0.000  0.000
Tl  0.500  0.500  0.000
Tl  0.500  0.500  0.500
Tl  0.500  0.000  0.252
Tl  0.500  0.000  0.748
Tl  0.000  0.500  0.252
Tl  0.000  0.500  0.748

---

| no. | energy of formation from the pure elements (eV per atom) |
| --- | --- |
| 1 | 0.30 |
| 2 | -0.09 |
| 3 | -0.12 |
| 4 | 0.08 |
| 5 | -0.19 |
| 6 | -0.31 |
| 7 | -0.01 |
| 8 | -0.32 |
| 9 | 0.03 |
| 10 | 0.08 |
| 11 | -0.22 |
| 12 | -0.23 |